MnNbP2O: optimized geometry, PBE with a Hubbard U.

Lattice parameters (Å, degrees): 4.958 4.958 3.879 90.00 90.00 90.00
Atoms (fractional coordinates):
1 P 0.000 0.500 0.000
2 P 0.500 0.000 0.000
3 Nb 0.000 0.000 0.000
4 Mn 0.500 0.500 0.500
5 O 0.000 0.000 0.500

Results
Final energy in eV per atom: -7.043
Space-group type: P4/mmm, No. 123
Magnetic moment in μB per formula unit: 4.53